(1)
# SnBiPb3 (PBE-GGA, relaxed)
# N(E_F), states/eV/cell: 2.3
# ΔE_f, kJ/mol of formula units: 239
# Polymorph energy (0 for the lowest one), meV/atom: 475.3
data_SnBiPb3
_symmetry_space_group_name_H-M 'P m -3 m'
_symmetry_Int_Tables_number 221
_symmetry_space_group_name_Hall '-P 4 2 3'
_cell_length_a 5.803
_cell_length_b 5.803
_cell_length_c 5.803
_cell_angle_alpha 90.00
_cell_angle_beta 90.00
_cell_angle_gamma 90.00
loop_
_atom_site_label
_atom_site_type_symbol
_atom_site_fract_x
_atom_site_fract_y
_atom_site_fract_z
Sn1 Sn 0.000 0.000 0.000
Bi1 Bi 0.500 0.500 0.500
Pb1 Pb 0.000 0.000 0.500

---

(2)
# Sn2BiPb7 (PBE-GGA, relaxed)
# N(E_F), states/eV/cell: 10.4
# ΔE_f, kJ/mol of formula units: 194
data_Sn2BiPb7
_symmetry_space_group_name_H-M 'C m m m'
_symmetry_Int_Tables_number 65
_symmetry_space_group_name_Hall '-C 2 2'
_cell_length_a 9.434
_cell_length_b 16.885
_cell_length_c 4.681
_cell_angle_alpha 90.00
_cell_angle_beta 90.00
_cell_angle_gamma 90.00
loop_
_atom_site_label
_atom_site_type_symbol
_atom_site_fract_x
_atom_site_fract_y
_atom_site_fract_z
Sn1 Sn 0.000 0.184 0.000
Bi1 Bi 0.000 0.500 0.500
Pb1 Pb 0.000 0.000 0.000
Pb2 Pb 0.000 0.299 0.500
Pb3 Pb 0.196 0.396 0.000

---

(3)
# SnBiPb2 (PBE-GGA, relaxed)
# N(E_F), states/eV/cell: 8.7
# ΔE_f, kJ/mol of formula units: 82
# Polymorph energy (0 for the lowest one), meV/atom: 172.4
data_SnBiPb2
_symmetry_space_group_name_H-M 'I -4 2 d'
_symmetry_Int_Tables_number 122
_symmetry_space_group_name_Hall 'I -4 2bw'
_cell_length_a 7.010
_cell_length_b 7.010
_cell_length_c 14.179
_cell_angle_alpha 90.00
_cell_angle_beta 90.00
_cell_angle_gamma 90.00
loop_
_atom_site_label
_atom_site_type_symbol
_atom_site_fract_x
_atom_site_fract_y
_atom_site_fract_z
Sn1 Sn 0.000 0.000 0.000
Bi1 Bi 0.000 0.000 0.500
Pb1 Pb 0.237 0.250 0.125

---

> The highest ΔE_f belongs to which entry?

SnBiPb3